Entry 1:
First-principles (GGA+U) data for a relaxed structure of FeBiO3, as listed in Alexandria via LeMat-Bulk.

It has space group Pnma (No. 62), with a = 5.737 Å, b = 7.884 Å, c = 5.491 Å, α = 90.00°, β = 90.00° and γ = 90.00°. The asymmetric unit holds Fe at (0.000, 0.000, 0.000), Bi at (0.053, 0.250, 0.490), O at (0.030, 0.750, 0.100) and O at (0.197, 0.548, 0.693).

For the total energy, the calculation gives -6.206 eV/atom. The density of states at the Fermi level comes out at 0.0 states/eV per cell. The total magnetic moment comes out at 1.000 μB per atom.

***

Entry 2:
First-principles (GGA+U) data for a relaxed structure of FeBiO3, as listed in Alexandria via LeMat-Bulk.

It has space group Pm-3m (No. 221), with a = 4.193 Å, b = 4.193 Å, c = 4.193 Å, α = 90.00°, β = 90.00° and γ = 90.00°. The asymmetric unit holds Fe at (0.000, 0.000, 0.000), Bi at (0.500, 0.500, 0.500) and O at (0.000, 0.500, 0.500).

For the total energy, the calculation gives -5.148 eV/atom. The density of states at the Fermi level comes out at 8.4 states/eV per cell. The total magnetic moment comes out at 0.702 μB per atom.

***

Entry 3:
First-principles (GGA+U) data for a relaxed structure of FeBiO3, as listed in Alexandria via LeMat-Bulk.

It has space group P1 (No. 1), with a = 3.719 Å, b = 3.904 Å, c = 4.961 Å, α = 84.85°, β = 89.94° and γ = 89.99°. The asymmetric unit holds Fe at (0.000, 0.000, 0.000), Bi at (0.501, 0.582, 0.580), O at (0.000, 0.506, 0.872), O at (0.000, 0.935, 0.376) and O at (0.500, 0.003, 0.848).

For the total energy, the calculation gives -6.212 eV/atom. The density of states at the Fermi level comes out at 0.0 states/eV per cell. The total magnetic moment comes out at 1.000 μB per atom.

***

Entry 4:
First-principles (GGA+U) data for a relaxed structure of Fe3BiO, as listed in Alexandria via LeMat-Bulk.

It has space group Pm-3m (No. 221), with a = 4.383 Å, b = 4.383 Å, c = 4.383 Å, α = 90.00°, β = 90.00° and γ = 90.00°. The asymmetric unit holds Fe at (0.000, 0.000, 0.500), Bi at (0.500, 0.500, 0.500) and O at (0.000, 0.000, 0.000).

For the total energy, the calculation gives -5.126 eV/atom. The density of states at the Fermi level comes out at 5.3 states/eV per cell. The total magnetic moment comes out at 2.222 μB per atom. The value obtained for the energy above the most stable polymorph in this dataset is 0 meV per atom.